# 1
DFT (GGA-PBE) results for crystalline BaLa2W at its relaxed geometry.

total moment	0.00	μB per formula unit
energy	-5.364	eV/atom
space-group type	No. 35
E above lowest polymorph	0.3337	eV per atom
formation energy from the elements	0.82	eV per atom

a b c (Å): 3.421 3.421 11.825
angles (deg): 90.00 90.00 112.72
Atoms (fractional coordinates):
La (0.000, 0.000, 0.016)
Ba (0.500, 0.500, 0.701)
La (0.500, 0.500, 0.303)
W (0.000, 0.000, 0.479)

---

# 2
DFT (GGA-PBE) results for crystalline Sr2AcGa3Au12 at its relaxed geometry.

total moment	0.00	μB per formula unit
energy	-3.401	eV/atom
space-group type	No. 166
formation energy from the elements	-0.30	eV per atom

a b c (Å): 10.749 10.749 10.749
angles (deg): 39.09 39.09 39.09
Atoms (fractional coordinates):
Ga (0.500, 0.000, 0.000)
Au (0.408, 0.808, 0.408)
Au (0.134, 0.543, 0.134)
Au (0.866, 0.866, 0.457)
Au (0.866, 0.457, 0.866)
Ac (0.000, 0.000, 0.000)
Sr (0.363, 0.363, 0.363)
Au (0.192, 0.592, 0.592)
Ga (0.000, 0.000, 0.500)
Sr (0.637, 0.637, 0.637)
Ga (0.000, 0.500, 0.000)
Au (0.592, 0.192, 0.592)
Au (0.808, 0.408, 0.408)
Au (0.592, 0.592, 0.192)
Au (0.457, 0.866, 0.866)
Au (0.134, 0.134, 0.543)
Au (0.543, 0.134, 0.134)
Au (0.408, 0.408, 0.808)

---

# 3
DFT (GGA-PBE) results for crystalline Sm3Si2Ir3 at its relaxed geometry.

total moment	0.00	μB per formula unit
energy	-7.347	eV/atom
space-group type	No. 63
E above lowest polymorph	0.0599	eV per atom
energy relative to the elements, uncorrected	-899	meV/atom

a b c (Å): 4.148 5.589 15.109
angles (deg): 90.00 90.00 111.78
Atoms (fractional coordinates):
Ir (0.652, 0.303, 0.037)
Ir (0.669, 0.339, 0.750)
Sm (0.638, 0.277, 0.250)
Sm (0.362, 0.723, 0.750)
Si (0.221, 0.442, 0.398)
Si (0.221, 0.442, 0.102)
Sm (0.070, 0.140, 0.609)
Si (0.779, 0.558, 0.602)
Ir (0.652, 0.303, 0.463)
Ir (0.348, 0.697, 0.537)
Ir (0.331, 0.661, 0.250)
Sm (0.930, 0.860, 0.109)
Si (0.779, 0.558, 0.898)
Ir (0.348, 0.697, 0.963)
Sm (0.070, 0.140, 0.891)
Sm (0.930, 0.860, 0.391)

---

# 4
DFT (GGA-PBE) results for crystalline KSiBSb2 at its relaxed geometry.

total moment	0.00	μB per formula unit
energy	-3.703	eV/atom
space-group type	No. 123
energy relative to the elements, uncorrected	585	meV/atom

a b c (Å): 5.848 3.657 5.848
angles (deg): 90.00 90.00 90.00
Atoms (fractional coordinates):
Sb (0.000, 0.000, 0.500)
K (0.500, 0.500, 0.500)
Si (0.000, 0.500, 0.000)
Sb (0.500, 0.000, 0.000)
B (0.000, 0.000, 0.000)

---

# 5
DFT (GGA-PBE) results for crystalline InTc2W at its relaxed geometry.

total moment	0.00	μB per formula unit
energy	-8.578	eV/atom
space-group type	No. 216
formation energy from the elements	0.53	eV per atom

a b c (Å): 4.523 4.523 4.523
angles (deg): 60.00 60.00 60.00
Atoms (fractional coordinates):
In (0.500, 0.500, 0.500)
Tc (0.000, 0.000, 0.000)
Tc (0.750, 0.750, 0.750)
W (0.250, 0.250, 0.250)

---

# 6
DFT (GGA-PBE) results for crystalline LiLa2TeRh at its relaxed geometry.

total moment	0.00	μB per formula unit
energy	-5.207	eV/atom
space-group type	No. 123
energy relative to the elements, uncorrected	-754	meV/atom

a b c (Å): 5.443 5.443 4.790
angles (deg): 90.00 90.00 90.00
Atoms (fractional coordinates):
Rh (0.000, 0.000, 0.000)
La (0.000, 0.500, 0.000)
La (0.500, 0.000, 0.000)
Li (0.000, 0.000, 0.500)
Te (0.500, 0.500, 0.500)